Record 1
# YAg2Br

An optimized crystal structure of YAg2Br (PBE, Alexandria).

Geometry as POSCAR:
```
YAg2Br
1.0
2.778 -4.710 0.000
2.778 4.710 0.000
0.000 0.000 3.823
Y Ag Br
1 2 1
direct
0.000 0.000 0.000
0.000 0.500 0.500
0.500 0.000 0.500
0.500 0.500 0.000
```

Properties
Size of the total moment: 0.0 μB per cell
Energy above the most stable polymorph in this dataset: 148 meV per atom
E: -3.77 eV/atom
Raw formation energy: -311 meV/atom


Record 2
# ZrZn2Te

An optimized crystal structure of ZrZn2Te (PBE, Alexandria).

Geometry as POSCAR:
```
ZrZn2Te
1.0
-3.899 3.899 2.842
3.899 -3.899 2.842
3.899 3.899 -2.842
Zr Zn Te
2 4 2
direct
0.000 0.000 0.000
0.750 0.250 0.500
0.130 0.625 0.005
0.375 0.380 0.505
0.620 0.125 0.995
0.875 0.870 0.495
0.250 0.750 0.500
0.500 0.500 0.000
```

Properties
Size of the total moment: 0.0 μB per cell
E: -3.58 eV/atom
Raw formation energy: -17 meV/atom


Record 3
# ZnCo2Re

An optimized crystal structure of ZnCo2Re (PBE, Alexandria).

Geometry as POSCAR:
```
ZnCo2Re
1.0
2.643 0.000 0.000
0.000 3.533 0.000
0.000 0.000 5.298
Zn Co Re
1 2 1
direct
0.000 0.000 0.000
0.500 0.500 0.259
0.500 0.500 0.741
0.000 0.000 0.500
```

Properties
Size of the total moment: 0.0 μB per cell
E: -6.94 eV/atom
DFT formation energy: 4.6 kJ/mol of atoms


Record 4
# Ga5Ag3O12

An optimized crystal structure of Ga5Ag3O12 (PBE, Alexandria).

Geometry as POSCAR:
```
Ga5Ag3O12
1.0
-6.220 6.220 6.220
6.220 -6.220 6.220
6.220 6.220 -6.220
Ga Ag O
20 12 48
direct
0.000 0.000 0.000
0.000 0.000 0.500
0.000 0.500 0.000
0.000 0.500 0.500
0.125 0.750 0.875
0.125 0.875 0.250
0.250 0.125 0.875
0.250 0.625 0.375
0.375 0.250 0.625
0.375 0.625 0.750
0.500 0.000 0.000
0.500 0.000 0.500
0.500 0.500 0.000
0.500 0.500 0.500
0.625 0.375 0.250
0.625 0.750 0.375
0.750 0.375 0.625
0.750 0.875 0.125
0.875 0.125 0.750
0.875 0.250 0.125
0.125 0.250 0.375
0.125 0.375 0.750
0.250 0.375 0.125
0.250 0.875 0.625
0.375 0.125 0.250
0.375 0.750 0.125
0.625 0.250 0.875
0.625 0.875 0.750
0.750 0.125 0.375
0.750 0.625 0.875
0.875 0.625 0.250
0.875 0.750 0.625
0.024 0.201 0.123
0.024 0.324 0.902
0.078 0.701 0.676
0.078 0.877 0.402
0.098 0.623 0.422
0.098 0.976 0.676
0.123 0.024 0.201
0.123 0.598 0.922
0.176 0.201 0.578
0.176 0.476 0.598
0.201 0.123 0.024
0.201 0.578 0.176
0.299 0.324 0.922
0.299 0.476 0.377
0.324 0.902 0.024
0.324 0.922 0.299
0.377 0.299 0.476
0.377 0.578 0.902
0.402 0.078 0.877
0.402 0.824 0.524
0.422 0.098 0.623
0.422 0.824 0.799
0.476 0.377 0.299
0.476 0.598 0.176
0.524 0.402 0.824
0.524 0.623 0.701
0.578 0.176 0.201
0.578 0.902 0.377
0.598 0.176 0.476
0.598 0.922 0.123
0.623 0.422 0.098
0.623 0.701 0.524
0.676 0.078 0.701
0.676 0.098 0.976
0.701 0.524 0.623
0.701 0.676 0.078
0.799 0.422 0.824
0.799 0.877 0.976
0.824 0.524 0.402
0.824 0.799 0.422
0.877 0.402 0.078
0.877 0.976 0.799
0.902 0.024 0.324
0.902 0.377 0.578
0.922 0.123 0.598
0.922 0.299 0.324
0.976 0.676 0.098
0.976 0.799 0.877
```

Properties
Size of the total moment: 24.7 μB per cell
E: -5.11 eV/atom
Raw formation energy: -952 meV/atom


Record 5
# MnIn2PdN

An optimized crystal structure of MnIn2PdN (PBE, Alexandria).

Geometry as POSCAR:
```
MnIn2PdN
1.0
5.177 0.000 0.000
0.000 5.177 0.000
0.000 0.000 3.452
Mn In Pd N
1 2 1 1
direct
0.000 0.000 0.000
0.000 0.500 0.000
0.500 0.000 0.000
0.500 0.500 0.500
0.000 0.000 0.500
```

Properties
Size of the total moment: 0.9 μB per cell
E: -5.38 eV/atom
Raw formation energy: 253 meV/atom


Record 6
# KNpBi2O8

An optimized crystal structure of KNpBi2O8 (PBE, Alexandria).

Geometry as POSCAR:
```
KNpBi2O8
1.0
5.278 0.000 0.000
0.000 7.094 0.000
-0.173 0.000 5.283
K Np Bi O
1 1 2 8
direct
0.000 0.000 0.000
0.000 0.500 0.000
0.500 0.247 0.500
0.500 0.753 0.500
0.188 0.305 0.187
0.188 0.695 0.187
0.295 0.500 0.703
0.327 0.000 0.670
0.673 0.000 0.330
0.705 0.500 0.297
0.812 0.305 0.813
0.812 0.695 0.813
```

Properties
Size of the total moment: 0.0 μB per cell
E: -6.73 eV/atom
Raw formation energy: -1606 meV/atom


Record 7
# Dy4Ga5Ge2

An optimized crystal structure of Dy4Ga5Ge2 (PBE, Alexandria).

Geometry as POSCAR:
```
Dy4Ga5Ge2
1.0
7.010 0.000 0.000
0.000 4.261 0.000
-0.181 0.000 7.990
Dy Ga Ge
4 5 2
direct
0.223 0.000 0.367
0.244 0.000 0.893
0.756 0.000 0.107
0.777 0.000 0.633
0.131 0.500 0.619
0.457 0.500 0.162
0.500 0.500 0.500
0.543 0.500 0.838
0.869 0.500 0.381
0.088 0.500 0.135
0.912 0.500 0.865
```

Properties
Size of the total moment: 0.0 μB per cell
E: -4.52 eV/atom
DFT formation energy: -60.8 kJ/mol of atoms


Record 8
# LaY

An optimized crystal structure of LaY (PBE, Alexandria).

Geometry as POSCAR:
```
LaY
1.0
6.449 0.000 0.000
0.000 5.861 0.000
0.000 0.000 7.444
La Y
4 4
direct
0.083 0.250 0.126
0.417 0.750 0.626
0.583 0.250 0.374
0.917 0.750 0.874
0.083 0.250 0.624
0.417 0.750 0.124
0.583 0.250 0.876
0.917 0.750 0.376
```

Properties
Size of the total moment: 0.0 μB per cell
Energy above the most stable polymorph in this dataset: 32 meV per atom
E: -5.66 eV/atom
DFT formation energy: 3.5 kJ/mol of atoms


Record 9
# Pa2Co4Si3Os

An optimized crystal structure of Pa2Co4Si3Os (PBE, Alexandria).

Geometry as POSCAR:
```
Pa2Co4Si3Os
1.0
3.837 0.000 0.000
0.000 3.837 0.000
0.000 0.000 10.078
Pa Co Si Os
2 4 3 1
direct
0.000 0.500 0.246
0.500 0.000 0.754
0.000 0.000 0.000
0.000 0.500 0.648
0.500 0.000 0.352
0.500 0.500 0.000
0.000 0.500 0.877
0.500 0.000 0.123
0.500 0.500 0.500
0.000 0.000 0.500
```

Properties
Size of the total moment: 0.0 μB per cell
E: -8.10 eV/atom
Raw formation energy: -604 meV/atom


Record 10
# AlH2Se

An optimized crystal structure of AlH2Se (PBE, Alexandria).

Geometry as POSCAR:
```
AlH2Se
1.0
-1.852 1.852 6.629
1.852 -1.852 6.629
1.852 1.852 -6.629
Al H Se
2 4 2
direct
0.375 0.625 0.750
0.625 0.375 0.250
0.000 0.500 0.500
0.500 0.000 0.000
0.500 0.500 0.000
0.500 0.500 0.500
0.125 0.875 0.250
0.875 0.125 0.750
```

Properties
Size of the total moment: 0.0 μB per cell
Energy above the most stable polymorph in this dataset: 310 meV per atom
E: -3.24 eV/atom


Record 11
# RbPmDy4S8

An optimized crystal structure of RbPmDy4S8 (PBE, Alexandria).

Geometry as POSCAR:
```
RbPmDy4S8
1.0
4.132 2.385 6.870
-4.132 2.385 6.870
0.000 -4.771 6.870
Rb Pm Dy S
1 1 4 8
direct
0.000 0.000 0.000
0.633 0.633 0.633
0.115 0.633 0.633
0.254 0.254 0.254
0.633 0.115 0.633
0.633 0.633 0.115
0.383 0.383 0.859
0.383 0.859 0.383
0.386 0.386 0.386
0.433 0.865 0.865
0.858 0.858 0.858
0.859 0.383 0.383
0.865 0.433 0.865
0.865 0.865 0.433
```

Properties
Size of the total moment: 0.0 μB per cell
E: -5.98 eV/atom
Raw formation energy: -1899 meV/atom


Record 12
# YBeAu3

An optimized crystal structure of YBeAu3 (PBE, Alexandria).

Geometry as POSCAR:
```
YBeAu3
1.0
1.942 -8.007 0.000
1.942 8.007 0.000
0.000 0.000 6.012
Y Be Au
2 2 6
direct
0.217 0.783 0.750
0.783 0.217 0.250
0.139 0.861 0.250
0.861 0.139 0.750
0.011 0.989 0.750
0.391 0.609 0.507
0.391 0.609 0.993
0.609 0.391 0.007
0.609 0.391 0.493
0.989 0.011 0.250
```

Properties
Size of the total moment: 0.0 μB per cell
Energy above the most stable polymorph in this dataset: 177 meV per atom
E: -4.39 eV/atom
DFT formation energy: -37.7 kJ/mol of atoms


Record 13
# Cs2MgTl2

An optimized crystal structure of Cs2MgTl2 (PBE, Alexandria).

Geometry as POSCAR:
```
Cs2MgTl2
1.0
2.546 1.470 12.019
-2.546 1.470 12.019
0.000 -2.940 12.019
Cs Mg Tl
2 1 2
direct
0.071 0.071 0.071
0.929 0.929 0.929
0.500 0.500 0.500
0.192 0.192 0.192
0.808 0.808 0.808
```

Properties
Size of the total moment: 0.0 μB per cell
Energy above the most stable polymorph in this dataset: 0 meV per atom
E: -1.67 eV/atom
DFT formation energy: -6.2 kJ/mol of atoms


Record 14
# CsBaB3O6

An optimized crystal structure of CsBaB3O6 (PBE, Alexandria).

Geometry as POSCAR:
```
CsBaB3O6
1.0
12.696 0.000 0.000
-6.348 10.995 0.000
0.000 0.000 7.661
Cs Ba B O
6 6 18 36
direct
0.000 0.362 0.000
0.000 0.694 0.000
0.306 0.306 0.000
0.362 0.000 0.000
0.638 0.638 0.000
0.694 0.000 0.000
0.000 0.367 0.500
0.000 0.703 0.500
0.297 0.297 0.500
0.367 0.000 0.500
0.633 0.633 0.500
0.703 0.000 0.500
0.042 0.129 0.285
0.087 0.958 0.285
0.129 0.042 0.715
0.205 0.625 0.286
0.267 0.731 0.713
0.269 0.536 0.713
0.375 0.580 0.286
0.420 0.795 0.286
0.464 0.733 0.713
0.536 0.269 0.287
0.580 0.375 0.714
0.625 0.205 0.714
0.731 0.267 0.287
0.733 0.464 0.287
0.795 0.420 0.714
0.871 0.913 0.285
0.913 0.871 0.715
0.958 0.087 0.715
0.041 0.917 0.720
0.083 0.124 0.720
0.086 0.248 0.296
0.086 0.583 0.297
0.124 0.083 0.280
0.162 0.914 0.296
0.207 0.415 0.702
0.207 0.602 0.719
0.208 0.793 0.702
0.248 0.086 0.704
0.250 0.542 0.281
0.293 0.750 0.281
0.396 0.793 0.719
0.398 0.604 0.719
0.415 0.207 0.298
0.417 0.503 0.297
0.458 0.707 0.281
0.497 0.914 0.297
0.503 0.417 0.703
0.542 0.250 0.719
0.583 0.086 0.703
0.585 0.792 0.702
0.602 0.207 0.281
0.604 0.398 0.281
0.707 0.458 0.719
0.750 0.293 0.719
0.752 0.838 0.296
0.792 0.585 0.298
0.793 0.208 0.298
0.793 0.396 0.281
0.838 0.752 0.704
0.876 0.959 0.720
0.914 0.162 0.704
0.914 0.497 0.703
0.917 0.041 0.280
0.959 0.876 0.280
```

Properties
Size of the total moment: 0.0 μB per cell
E: -7.31 eV/atom
Raw formation energy: -2537 meV/atom


Record 15
# Sr2Li7Tl

An optimized crystal structure of Sr2Li7Tl (PBE, Alexandria).

Geometry as POSCAR:
```
Sr2Li7Tl
1.0
0.000 5.227 5.227
5.227 0.000 5.227
5.227 5.227 0.000
Sr Li Tl
2 7 1
direct
0.250 0.250 0.250
0.750 0.750 0.750
0.000 0.000 0.000
0.245 0.245 0.755
0.245 0.755 0.245
0.245 0.755 0.755
0.755 0.245 0.245
0.755 0.245 0.755
0.755 0.755 0.245
0.500 0.500 0.500
```

Properties
Size of the total moment: 0.0 μB per cell
Energy above the most stable polymorph in this dataset: 83 meV per atom
E: -1.87 eV/atom
DFT formation energy: 3.9 kJ/mol of atoms


Record 16
# Nb2CrHOs

An optimized crystal structure of Nb2CrHOs (PBE, Alexandria).

Geometry as POSCAR:
```
Nb2CrHOs
1.0
4.414 0.000 0.000
0.000 4.414 0.000
0.000 0.000 3.332
Nb Cr H Os
2 1 1 1
direct
0.000 0.500 0.000
0.500 0.000 0.000
0.000 0.000 0.500
0.000 0.000 0.000
0.500 0.500 0.500
```

Properties
Size of the total moment: 0.0 μB per cell
E: -8.93 eV/atom


Record 17
# TaTl4Ag3Te8

An optimized crystal structure of TaTl4Ag3Te8 (PBE, Alexandria).

Geometry as POSCAR:
```
TaTl4Ag3Te8
1.0
4.335 2.503 7.414
-4.335 2.503 7.414
0.000 -5.006 7.414
Ta Tl Ag Te
1 4 3 8
direct
0.000 0.000 0.000
0.000 0.000 0.500
0.000 0.500 0.000
0.500 0.000 0.000
0.500 0.500 0.500
0.000 0.500 0.500
0.500 0.000 0.500
0.500 0.500 0.000
0.225 0.225 0.760
0.225 0.760 0.225
0.240 0.775 0.775
0.270 0.270 0.270
0.730 0.730 0.730
0.760 0.225 0.225
0.775 0.240 0.775
0.775 0.775 0.240
```

Properties
Size of the total moment: 0.0 μB per cell
E: -3.57 eV/atom
Raw formation energy: -137 meV/atom


Record 18
# BaSrGa

An optimized crystal structure of BaSrGa (PBE, Alexandria).

Geometry as POSCAR:
```
BaSrGa
1.0
-2.036 2.036 7.304
2.036 -2.036 7.304
2.036 2.036 -7.304
Ba Sr Ga
1 1 1
direct
0.000 0.000 0.000
0.256 0.256 0.000
0.639 0.639 0.000
```

Properties
Size of the total moment: 0.0 μB per cell
Energy above the most stable polymorph in this dataset: 2 meV per atom
E: -2.48 eV/atom
DFT formation energy: -25.7 kJ/mol of atoms